(1)
The following is a PBE calculation of an optimized crystal structure of PrPaBe, from OQMD.

Cell: 6.659 6.659 6.659 Å, 90.00 90.00 90.00°
Space group F-43m (No. 216)
Unique sites:
1 Pr 0.000 0.000 0.000 (multiplicity 4)
2 Pa 0.000 0.000 0.500 (multiplicity 4)
3 Be 0.250 0.250 0.750 (multiplicity 4)

Computed properties:
- energy above the most stable polymorph in this dataset (eV/f.u.) = 0.00
- magnetization (μB/cell) = 0.0

=====

(2)
The following is a PBE calculation of an optimized crystal structure of LuMgGeIr, from OQMD.

Cell: 6.533 6.533 6.533 Å, 90.00 90.00 90.00°
Space group F-43m (No. 216)
Unique sites:
1 Lu 0.000 0.000 0.000 (multiplicity 4)
2 Mg 0.250 0.250 0.750 (multiplicity 4)
3 Ge 0.000 0.000 0.500 (multiplicity 4)
4 Ir 0.250 0.250 0.250 (multiplicity 4)

Computed properties:
- energy above the most stable polymorph in this dataset (eV/f.u.) = 0.26
- magnetization (μB/cell) = 0.0

=====

(3)
The following is a PBE calculation of an optimized crystal structure of SmBeAsO, from OQMD.

Cell: 3.875 3.875 8.699 Å, 90.00 90.00 90.00°
Space group P4/nmm (No. 129, origin choice 2)
Unique sites:
1 Sm 0.250 0.250 0.139 (multiplicity 2)
2 Be 0.250 0.750 0.500 (multiplicity 2)
3 As 0.250 0.250 0.653 (multiplicity 2)
4 O 0.250 0.750 0.000 (multiplicity 2)

Computed properties:
- energy above the most stable polymorph in this dataset (eV/f.u.) = 0.00
- magnetization (μB/cell) = 0.0

=====

(4)
The following is a PBE calculation of an optimized crystal structure of SbTeAu, from OQMD.

Cell: 12.107 4.515 12.471 Å, 90.00 105.62 90.00°
Space group C2/c (No. 15)
Unique sites:
1 Sb 0.029 0.223 0.403 (multiplicity 8)
2 Te 0.199 0.165 0.855 (multiplicity 8)
3 Au 0.129 0.231 0.627 (multiplicity 8)

Computed properties:
- total DFT energy (no corrections) (eV per atom) = -3.637

=====

(5)
The following is a PBE calculation of an optimized crystal structure of NaGdHg, from OQMD.

Cell: 6.964 6.964 6.964 Å, 90.00 90.00 90.00°
Space group F-43m (No. 216)
Unique sites:
1 Na 0.000 0.000 0.000 (multiplicity 4)
2 Gd 0.250 0.250 0.750 (multiplicity 4)
3 Hg 0.250 0.250 0.250 (multiplicity 4)

Computed properties:
- total DFT energy (no corrections) (eV per atom) = -1.785
- magnetization (μB/cell) = 2.0

=====

(6)
The following is a PBE calculation of an optimized crystal structure of YCuGe2, from OQMD.

Cell: 6.772 6.772 6.772 Å, 90.00 90.00 90.00°
Space group F-43m (No. 216)
Unique sites:
1 Y 0.000 0.000 0.000 (multiplicity 4)
2 Cu 0.250 0.250 0.750 (multiplicity 4)
3 Ge 0.000 0.000 0.500 (multiplicity 4)
4 Ge 0.250 0.250 0.250 (multiplicity 4)

Computed properties:
- total DFT energy (no corrections) (eV per atom) = -4.975
- magnetization (μB/cell) = 0.0